The following is a DFT calculation (PBE-GGA) of Pr4TmP5 after structural relaxation.

The space group is I4/m (No. 87) and the conventional cell measures 9.291, 9.291 and 5.886 Å, with angles of 90.00, 90.00 and 90.00 degrees. The inequivalent atoms are Pr at (0.098, 0.701, 0.000), Tm at (0.000, 0.000, 0.500), P at (0.000, 0.000, 0.000) and P at (0.097, 0.708, 0.500).

The calculation puts the formation enthalpy at 0 K at -1.514 eV/atom.